# Fe2RuAu, single point on PBEsol structure, DFT SCAN
# - Polymorph energy (0 for the lowest one): 0.082 eV/atom
# - Calculated volume: 53.5 Å³/f.u.
# - ΔH_f (0 K): 167 meV per atom
data_Fe2RuAu
_cell_length_a 2.7051
_cell_length_b 2.7051
_cell_length_c 25.3206
_cell_angle_alpha 90.00
_cell_angle_beta 90.00
_cell_angle_gamma 120.00
_symmetry_space_group_name_H-M 'R 3 m'
_symmetry_Int_Tables_number 160
_symmetry_space_group_name_Hall 'R 3 -2"'
loop_
_atom_site_label
_atom_site_fract_x
_atom_site_fract_y
_atom_site_fract_z
_atom_site_occupancy
Fe1 0.0000 0.0000 0.0000 1
Fe2 0.0000 0.0000 0.2599 1
Ru1 0.0000 0.0000 0.5167 1
Au1 0.0000 0.0000 0.7548 1